# 1
{"formula": "BaInOs2O8", "functional": "PBE-GGA", "state": "relaxed", "lattice_angstrom": [[-2.368, 1.480, 4.976], [1.310, -5.458, -1.025], [7.047, 1.124, 3.020]], "species": ["O", "O", "O", "O", "O", "Ba", "In", "Os", "Os", "O", "O", "O"], "frac_coords": [[0.333, 0.667, 0.980], [0.667, 0.333, 0.020], [0.242, 0.924, 0.693], [0.076, 0.318, 0.693], [0.924, 0.682, 0.307], [0.000, 0.000, 0.000], [0.000, 0.000, 0.500], [0.333, 0.667, 0.747], [0.667, 0.333, 0.253], [0.318, 0.242, 0.307], [0.758, 0.076, 0.307], [0.682, 0.758, 0.693]], "dft_energy_ev_per_atom": -6.778, "magmom_total_mub_per_cell": 2.99, "raw_formation_energy_mev_per_atom": -1213, "spacegroup": "No. 147"}

=====

# 2
{"formula": "CeGa2Rh3", "functional": "PBE-GGA", "state": "relaxed", "lattice_angstrom": [[4.357, 0.000, 0.000], [-2.178, 3.773, 0.000], [0.000, 0.000, 12.279]], "species": ["Ga", "Rh", "Rh", "Rh", "Rh", "Ce", "Rh", "Ga", "Rh", "Ga", "Ce", "Ga"], "frac_coords": [[0.333, 0.667, 0.918], [0.000, 0.000, 0.500], [0.667, 0.333, 0.872], [0.667, 0.333, 0.628], [0.333, 0.667, 0.372], [0.000, 0.000, 0.750], [0.333, 0.667, 0.128], [0.667, 0.333, 0.418], [0.000, 0.000, 0.000], [0.667, 0.333, 0.082], [0.000, 0.000, 0.250], [0.333, 0.667, 0.582]], "dft_energy_ev_per_atom": -6.464, "magmom_total_mub_per_cell": 0.00, "spacegroup": "No. 194", "formation_energy_mev_per_atom": -790}

=====

# 3
{"formula": "Ce2SmErSb5", "functional": "PBE-GGA", "state": "relaxed", "lattice_angstrom": [[-4.752, -1.011, -2.333], [-2.290, -0.444, 4.859], [-2.370, 11.330, -0.081]], "species": ["Sb", "Sm", "Sb", "Sb", "Ce", "Sb", "Ce", "Sb", "Er"], "frac_coords": [[0.000, 0.500, 0.500], [0.000, 0.000, 0.500], [0.000, 0.000, 0.244], [0.000, 0.000, 0.756], [0.500, 0.500, 0.287], [0.500, 0.500, 0.000], [0.500, 0.500, 0.713], [0.500, 0.000, 0.500], [0.000, 0.000, 0.000]], "dft_energy_ev_per_atom": -4.833, "magmom_total_mub_per_cell": 1.81, "raw_formation_energy_mev_per_atom": -193, "spacegroup": "No. 123"}

=====

# 4
{"formula": "MgCoW2", "functional": "PBE-GGA", "state": "relaxed", "lattice_angstrom": [[-3.592, 1.100, 2.264], [-1.531, -0.611, -2.132], [-1.137, -5.047, 0.648]], "species": ["W", "Co", "Mg", "W"], "frac_coords": [[0.000, 0.482, 0.495], [0.500, 0.250, 0.250], [0.500, 0.750, 0.750], [0.000, 0.018, 0.005]], "dft_energy_ev_per_atom": -8.273, "magmom_total_mub_per_cell": 0.00, "spacegroup": "No. 10", "formation_energy_mev_per_atom": 378}

=====

# 5
{"formula": "Li8SiAg2", "functional": "PBE-GGA", "state": "relaxed", "lattice_angstrom": [[4.438, 0.243, -0.168], [-0.456, 6.325, -2.200], [0.208, 0.338, 6.700]], "species": ["Ag", "Ag", "Li", "Li", "Li", "Li", "Li", "Li", "Li", "Si", "Li"], "frac_coords": [[0.000, 0.373, 0.627], [0.000, 0.627, 0.373], [0.500, 0.760, 0.240], [0.001, 0.034, 0.281], [0.498, 0.675, 0.675], [0.001, 0.281, 0.034], [0.999, 0.966, 0.719], [0.502, 0.325, 0.325], [0.999, 0.719, 0.966], [0.500, 0.000, 0.000], [0.500, 0.240, 0.760]], "dft_energy_ev_per_atom": -2.543, "magmom_total_mub_per_cell": 0.00, "raw_formation_energy_mev_per_atom": -139, "spacegroup": "No. 12", "polymorph_energy_mev_per_atom": 0}

=====

# 6
{"formula": "Rb2EuCuCl6", "functional": "PBE-GGA", "state": "relaxed", "lattice_angstrom": [[7.417, 0.000, 0.000], [3.708, 6.423, 0.000], [3.708, 2.141, 6.056]], "species": ["Cl", "Cl", "Cl", "Cl", "Eu", "Rb", "Cu", "Cl", "Cl", "Rb"], "frac_coords": [[0.738, 0.262, 0.262], [0.738, 0.738, 0.262], [0.738, 0.262, 0.738], [0.262, 0.738, 0.262], [0.000, 0.000, 0.000], [0.750, 0.750, 0.750], [0.500, 0.500, 0.500], [0.262, 0.262, 0.738], [0.262, 0.738, 0.738], [0.250, 0.250, 0.250]], "dft_energy_ev_per_atom": -4.415, "magmom_total_mub_per_cell": 6.00, "raw_formation_energy_mev_per_atom": -1677, "spacegroup": "No. 225"}

=====

# 7
{"formula": "LaNiH2Cl", "functional": "PBE-GGA", "state": "relaxed", "lattice_angstrom": [[-0.990, -3.688, -0.168], [2.759, -0.497, -5.362], [3.255, -0.954, 1.763]], "species": ["H", "Cl", "H", "La", "Ni"], "frac_coords": [[0.000, 0.000, 0.500], [0.000, 0.000, 0.000], [0.500, 0.000, 0.000], [0.000, 0.500, 0.000], [0.500, 0.500, 0.500]], "dft_energy_ev_per_atom": -3.407, "magmom_total_mub_per_cell": 0.00, "spacegroup": "No. 123"}

=====

# 8
{"formula": "La5Tm4Hg4", "functional": "PBE-GGA", "state": "relaxed", "lattice_angstrom": [[-3.335, -2.725, 2.842], [-2.389, -7.265, -5.085], [5.020, -5.965, 4.855]], "species": ["Hg", "Hg", "Tm", "Hg", "La", "Tm", "La", "La", "Hg", "La", "Tm", "La", "Tm"], "frac_coords": [[0.084, 0.164, 0.667], [0.916, 0.836, 0.333], [0.096, 0.500, 0.307], [0.752, 0.333, 0.164], [0.000, 0.000, 0.000], [0.596, 0.307, 0.500], [0.312, 0.064, 0.312], [0.688, 0.936, 0.688], [0.248, 0.667, 0.836], [0.376, 0.312, 0.936], [0.904, 0.500, 0.693], [0.624, 0.688, 0.064], [0.404, 0.693, 0.500]], "dft_energy_ev_per_atom": -3.669, "magmom_total_mub_per_cell": 0.00, "spacegroup": "No. 87", "formation_energy_mev_per_atom": -305}

=====

# 9
{"formula": "ScFe2W", "functional": "PBE-GGA", "state": "relaxed", "lattice_angstrom": [[-4.763, -0.125, -0.996], [-1.070, -3.848, -2.782], [1.934, 1.111, 4.327]], "species": ["Sc", "Fe", "W", "Fe"], "frac_coords": [[0.750, 0.250, 0.500], [0.013, 0.013, 0.000], [0.250, 0.750, 0.500], [0.487, 0.487, 0.000]], "dft_energy_ev_per_atom": -8.799, "magmom_total_mub_per_cell": 2.55, "spacegroup": "No. 71", "formation_energy_mev_per_atom": 253}

=====

# 10
{"formula": "HfAlAg2", "functional": "PBE-GGA", "state": "relaxed", "lattice_angstrom": [[-1.706, -1.170, -2.252], [1.334, -2.722, 0.404], [-5.449, -1.909, 5.120]], "species": ["Ag", "Al", "Hf", "Ag"], "frac_coords": [[0.000, 0.000, 0.774], [0.500, 0.500, 0.000], [0.500, 0.500, 0.500], [0.000, 0.000, 0.226]], "dft_energy_ev_per_atom": -4.877, "magmom_total_mub_per_cell": 0.00, "spacegroup": "No. 123", "formation_energy_mev_per_atom": -28}

=====

# 11
{"formula": "Tb2Ga5Ir", "functional": "PBE-GGA", "state": "relaxed", "lattice_angstrom": [[6.064, 0.025, 0.036], [-2.964, 5.290, -0.036], [-2.964, -1.833, 4.963]], "species": ["Ir", "Ga", "Tb", "Ga", "Tb", "Ga", "Ga", "Ga"], "frac_coords": [[0.000, 0.961, 0.961], [0.000, 0.255, 0.255], [0.500, 0.754, 0.254], [0.426, 0.712, 0.712], [0.500, 0.254, 0.754], [0.574, 0.287, 0.287], [0.000, 0.287, 0.712], [0.000, 0.712, 0.287]], "dft_energy_ev_per_atom": -4.653, "magmom_total_mub_per_cell": 0.00, "spacegroup": "No. 107", "formation_energy_mev_per_atom": -496}

=====

# 12
{"formula": "NaAlSn3", "functional": "PBE-GGA", "state": "relaxed", "lattice_angstrom": [[-1.209, 4.127, 3.244], [-5.017, 0.072, -1.961], [-1.546, -3.461, 3.828]], "species": ["Sn", "Na", "Sn", "Sn", "Al"], "frac_coords": [[0.000, 0.000, 0.500], [0.500, 0.500, 0.500], [0.500, 0.000, 0.000], [0.000, 0.500, 0.000], [0.000, 0.000, 0.000]], "dft_energy_ev_per_atom": -3.171, "magmom_total_mub_per_cell": 0.00, "spacegroup": "No. 221", "polymorph_energy_mev_per_atom": 195, "formation_energy_mev_per_atom": 243}